Sr2BeAlV: optimized geometry, PBE.

```
Sr2BeAlV
1.0
6.117 0.000 0.000
0.000 6.117 0.000
0.000 0.000 4.311
Sr Be Al V
2 1 1 1
direct
0.000 0.500 0.000
0.500 0.000 0.000
0.000 0.000 0.500
0.000 0.000 0.000
0.500 0.500 0.500
```

**Uncorrected energy**: -2.9204 eV/atom
**Space-group type**: No. 123
**Energy of formation from the pure elements**: 1.07 eV/atom